1.
The following is a DFT calculation (GGA-PBEsol) of CsHBr2 after structural relaxation.

Cell and atoms, written as CIF:
```
data_CsHBr2
_space_group_name_H-M_alt 'P 1'
_space_group_IT_number 1
_space_group_name_Hall 'P 1'
_cell_length_a 4.0202
_cell_length_b 4.0202
_cell_length_c 7.9609
_cell_angle_alpha 75.37
_cell_angle_beta 75.37
_cell_angle_gamma 60.00
loop_
_atom_site_label
_atom_site_fract_x
_atom_site_fract_y
_atom_site_fract_z
H1 0.5000 0.5000 0.5000
Br1 0.2223 0.2223 0.3330
Br2 0.7777 0.7777 0.6670
Cs1 0.0000 0.0000 0.0000
```

Output
Total energy   -2.2393 eV per atom
Symmetry   No. 166
Magnetization   0.00 μB/f.u.

2.
The following is a DFT calculation (GGA-PBEsol) of Ca3Cd after structural relaxation.

Cell and atoms, written as CIF:
```
data_Ca3Cd
_space_group_name_H-M_alt 'P 1'
_space_group_IT_number 1
_space_group_name_Hall 'P 1'
_cell_length_a 6.0933
_cell_length_b 7.2144
_cell_length_c 17.5173
_cell_angle_alpha 90.00
_cell_angle_beta 90.00
_cell_angle_gamma 90.00
loop_
_atom_site_label
_atom_site_fract_x
_atom_site_fract_y
_atom_site_fract_z
Ca1 0.7931 0.5000 0.1435
Ca2 0.2684 0.2464 0.8208
Ca3 0.7316 0.7464 0.6792
Ca4 0.7316 0.2536 0.6792
Ca5 0.2069 0.0000 0.6435
Ca6 0.2684 0.7536 0.1792
Ca7 0.5575 0.2460 0.0000
Ca8 0.2684 0.7536 0.8208
Ca9 0.4425 0.7460 0.5000
Ca10 0.7931 0.5000 0.8565
Ca11 0.7316 0.2536 0.3208
Ca12 0.9577 0.5000 0.5000
Ca13 0.2069 0.0000 0.3565
Ca14 0.5575 0.7540 0.0000
Ca15 0.0423 0.0000 0.0000
Ca16 0.4425 0.2540 0.5000
Ca17 0.2684 0.2464 0.1792
Ca18 0.7316 0.7464 0.3208
Cd1 0.7440 0.0000 0.8396
Cd2 0.2560 0.5000 0.6604
Cd3 0.1201 0.5000 0.0000
Cd4 0.7440 0.0000 0.1604
Cd5 0.8799 0.0000 0.5000
Cd6 0.2560 0.5000 0.3396
```

Output
ΔE_f   -118 meV/atom
Symmetry   No. 59
Magnetization   0.00 μB/f.u.

3.
The following is a DFT calculation (GGA-PBEsol) of La3OsI3 after structural relaxation.

Cell and atoms, written as CIF:
```
data_La3OsI3
_space_group_name_H-M_alt 'P 1'
_space_group_IT_number 1
_space_group_name_Hall 'P 1'
_cell_length_a 10.7279
_cell_length_b 10.7279
_cell_length_c 10.7279
_cell_angle_alpha 109.47
_cell_angle_beta 109.47
_cell_angle_gamma 109.47
loop_
_atom_site_label
_atom_site_fract_x
_atom_site_fract_y
_atom_site_fract_z
I1 0.4882 0.4765 0.7382
I2 0.2618 0.2382 0.2500
I3 0.4882 0.0118 0.2500
I4 0.2382 0.4882 0.9765
I5 0.4765 0.2382 0.9882
I6 0.7500 0.2618 0.7382
I7 0.2382 0.7500 0.7618
I8 0.0118 0.7500 0.9882
I9 0.0118 0.2618 0.5235
I10 0.7500 0.4882 0.5118
I11 0.2618 0.0235 0.5118
I12 0.0235 0.0118 0.7618
La1 0.2500 0.7298 0.2702
La2 0.9798 0.7298 0.4595
La3 0.5405 0.7702 0.0202
La4 0.9595 0.9798 0.2298
La5 0.7702 0.5202 0.0405
La6 0.5202 0.5405 0.2702
La7 0.7298 0.9595 0.4798
La8 0.7298 0.7702 0.7500
La9 0.2500 0.5202 0.4798
La10 0.9798 0.2500 0.0202
La11 0.7702 0.2500 0.2298
La12 0.5202 0.9798 0.7500
Os1 0.7500 0.0000 0.0000
Os2 0.0000 0.5000 0.2500
Os3 0.5000 0.7500 0.5000
Os4 0.7500 0.7500 0.2500
```

Output
Uncorrected formation energy   -1.027 eV per atom
Symmetry   No. 214
Magnetization   0.00 μB/f.u.

4.
The following is a DFT calculation (GGA-PBEsol) of Mg2SbPb after structural relaxation.

Cell and atoms, written as CIF:
```
data_Mg2SbPb
_space_group_name_H-M_alt 'P 1'
_space_group_IT_number 1
_space_group_name_Hall 'P 1'
_cell_length_a 3.4332
_cell_length_b 4.1582
_cell_length_c 6.8522
_cell_angle_alpha 90.00
_cell_angle_beta 89.77
_cell_angle_gamma 90.00
loop_
_atom_site_label
_atom_site_fract_x
_atom_site_fract_y
_atom_site_fract_z
Mg1 0.0002 0.0000 0.2630
Mg2 0.9998 0.0000 0.7370
Pb1 0.5000 0.5000 0.0000
Sb1 0.5000 0.5000 0.5000
```

Output
Uncorrected formation energy   -0.135 eV per atom
Symmetry   No. 10
Magnetization   0.00 μB/f.u.

5.
The following is a DFT calculation (GGA-PBEsol) of Sr2TcPO after structural relaxation.

Cell and atoms, written as CIF:
```
data_Sr2TcPO
_space_group_name_H-M_alt 'P 1'
_space_group_IT_number 1
_space_group_name_Hall 'P 1'
_cell_length_a 3.9051
_cell_length_b 5.0441
_cell_length_c 5.0441
_cell_angle_alpha 90.00
_cell_angle_beta 90.00
_cell_angle_gamma 90.00
loop_
_atom_site_label
_atom_site_fract_x
_atom_site_fract_y
_atom_site_fract_z
P1 0.5000 0.5000 0.5000
Sr1 0.0000 0.5000 0.0000
Sr2 0.0000 0.0000 0.5000
O1 0.0000 0.0000 0.0000
Tc1 0.5000 0.0000 0.0000
```

Output
Uncorrected formation energy   -0.817 eV per atom
Symmetry   No. 123
Magnetization   0.00 μB/f.u.

6.
The following is a DFT calculation (GGA-PBEsol) of Hg2PtAu after structural relaxation.

Cell and atoms, written as CIF:
```
data_Hg2PtAu
_space_group_name_H-M_alt 'P 1'
_space_group_IT_number 1
_space_group_name_Hall 'P 1'
_cell_length_a 2.9489
_cell_length_b 4.2530
_cell_length_c 5.7749
_cell_angle_alpha 90.00
_cell_angle_beta 90.00
_cell_angle_gamma 90.00
loop_
_atom_site_label
_atom_site_fract_x
_atom_site_fract_y
_atom_site_fract_z
Pt1 0.0000 0.0000 0.4897
Au1 0.5000 0.5000 0.7541
Hg1 0.0000 0.0000 0.9828
Hg2 0.5000 0.5000 0.2734
```

Output
ΔE_f   88 meV/atom
Symmetry   No. 25
Magnetization   0.00 μB/f.u.

7.
The following is a DFT calculation (GGA-PBEsol) of BaTcPt2 after structural relaxation.

Cell and atoms, written as CIF:
```
data_BaTcPt2
_space_group_name_H-M_alt 'P 1'
_space_group_IT_number 1
_space_group_name_Hall 'P 1'
_cell_length_a 2.8840
_cell_length_b 4.4222
_cell_length_c 6.4068
_cell_angle_alpha 90.00
_cell_angle_beta 94.60
_cell_angle_gamma 90.00
loop_
_atom_site_label
_atom_site_fract_x
_atom_site_fract_y
_atom_site_fract_z
Pt1 0.8835 0.5000 0.2957
Pt2 0.8695 0.0000 0.0438
Tc1 0.4309 0.0000 0.3873
Ba1 0.3161 0.5000 0.7732
```

Output
ΔE_f   233 meV/atom
Symmetry   No. 6
Magnetization   0.34 μB/f.u.

8.
The following is a DFT calculation (GGA-PBEsol) of Al3IF after structural relaxation.

Cell and atoms, written as CIF:
```
data_Al3IF
_space_group_name_H-M_alt 'P 1'
_space_group_IT_number 1
_space_group_name_Hall 'P 1'
_cell_length_a 5.9817
_cell_length_b 5.9817
_cell_length_c 5.9817
_cell_angle_alpha 90.00
_cell_angle_beta 90.00
_cell_angle_gamma 90.00
loop_
_atom_site_label
_atom_site_fract_x
_atom_site_fract_y
_atom_site_fract_z
F1 0.5000 0.5000 0.5000
Al1 0.5000 0.0000 0.0000
Al2 0.0000 0.5000 0.0000
Al3 0.0000 0.0000 0.5000
I1 0.0000 0.0000 0.0000
```

Output
Uncorrected formation energy   0.841 eV per atom
Symmetry   No. 221
Magnetization   0.00 μB/f.u.

9.
The following is a DFT calculation (GGA-PBEsol) of Zr5SiSn3 after structural relaxation.

Cell and atoms, written as CIF:
```
data_Zr5SiSn3
_space_group_name_H-M_alt 'P 1'
_space_group_IT_number 1
_space_group_name_Hall 'P 1'
_cell_length_a 5.8077
_cell_length_b 8.5809
_cell_length_c 8.5809
_cell_angle_alpha 120.00
_cell_angle_beta 90.00
_cell_angle_gamma 90.00
loop_
_atom_site_label
_atom_site_fract_x
_atom_site_fract_y
_atom_site_fract_z
Sn1 0.7500 0.0000 0.3934
Sn2 0.2500 0.6066 0.0000
Sn3 0.7500 0.3934 0.0000
Sn4 0.2500 0.3934 0.3934
Sn5 0.2500 0.0000 0.6066
Sn6 0.7500 0.6066 0.6066
Zr1 0.2500 0.7406 0.7406
Zr2 0.7500 0.2594 0.2594
Zr3 0.5000 0.6667 0.3333
Zr4 0.5000 0.3333 0.6667
Zr5 0.2500 0.0000 0.2594
Zr6 0.2500 0.2594 0.0000
Zr7 0.0000 0.3333 0.6667
Zr8 0.7500 0.7406 0.0000
Zr9 0.0000 0.6667 0.3333
Zr10 0.7500 0.0000 0.7406
Si1 0.5000 0.0000 0.0000
Si2 0.0000 0.0000 0.0000
```

Output
Uncorrected formation energy   -0.790 eV per atom
Symmetry   No. 193
Magnetization   0.00 μB/f.u.

10.
The following is a DFT calculation (GGA-PBEsol) of MgBr2Cl after structural relaxation.

Cell and atoms, written as CIF:
```
data_MgBr2Cl
_space_group_name_H-M_alt 'P 1'
_space_group_IT_number 1
_space_group_name_Hall 'P 1'
_cell_length_a 3.7912
_cell_length_b 4.8916
_cell_length_c 4.8916
_cell_angle_alpha 90.00
_cell_angle_beta 90.00
_cell_angle_gamma 90.00
loop_
_atom_site_label
_atom_site_fract_x
_atom_site_fract_y
_atom_site_fract_z
Cl1 0.5000 0.5000 0.5000
Br1 0.0000 0.5000 0.0000
Br2 0.0000 0.0000 0.5000
Mg1 0.5000 0.0000 0.0000
```

Output
Uncorrected formation energy   -0.373 eV per atom
Symmetry   No. 123
Magnetization   0.53 μB/f.u.

11.
The following is a DFT calculation (GGA-PBEsol) of CaTiCN2 after structural relaxation.

Cell and atoms, written as CIF:
```
data_CaTiCN2
_space_group_name_H-M_alt 'P 1'
_space_group_IT_number 1
_space_group_name_Hall 'P 1'
_cell_length_a 3.7497
_cell_length_b 3.7497
_cell_length_c 7.7610
_cell_angle_alpha 90.00
_cell_angle_beta 90.00
_cell_angle_gamma 90.00
loop_
_atom_site_label
_atom_site_fract_x
_atom_site_fract_y
_atom_site_fract_z
Ca1 0.0000 0.0000 0.5000
Ti1 0.0000 0.0000 0.0000
C1 0.5000 0.5000 0.5000
N1 0.5000 0.0000 0.0000
N2 0.0000 0.5000 0.0000
```

Output
Uncorrected formation energy   1.147 eV per atom
Symmetry   No. 123
Magnetization   2.18 μB/f.u.

12.
The following is a DFT calculation (GGA-PBEsol) of TeRu2Se after structural relaxation.

Cell and atoms, written as CIF:
```
data_TeRu2Se
_space_group_name_H-M_alt 'P 1'
_space_group_IT_number 1
_space_group_name_Hall 'P 1'
_cell_length_a 4.1473
_cell_length_b 4.1473
_cell_length_c 5.0161
_cell_angle_alpha 112.41
_cell_angle_beta 112.41
_cell_angle_gamma 94.46
loop_
_atom_site_label
_atom_site_fract_x
_atom_site_fract_y
_atom_site_fract_z
Ru1 0.0000 0.5000 0.5000
Ru2 0.5000 0.0000 0.5000
Se1 0.5000 0.5000 0.0000
Te1 0.0000 0.0000 0.0000
```

Output
Uncorrected formation energy   0.594 eV per atom
Symmetry   No. 69
Magnetization   0.00 μB/f.u.